# 1
# CaCeBiTe, relaxed, DFT PBE
data_CaCeBiTe
_chemical_formula_sum 'Ca3 Ce3 Bi3 Te3'
_cell_length_a 4.4678
_cell_length_b 4.4678
_cell_length_c 23.7746
_cell_angle_alpha 90.00
_cell_angle_beta 90.00
_cell_angle_gamma 120.00
_symmetry_space_group_name_H-M 'R 3 m'
_symmetry_Int_Tables_number 160
_symmetry_space_group_name_Hall 'R 3 -2"'
loop_
_atom_site_label
_atom_site_fract_x
_atom_site_fract_y
_atom_site_fract_z
Ca1 0.0000 0.0000 0.0000
Ce1 0.0000 0.0000 0.8274
Bi1 0.0000 0.0000 0.4136
Te1 0.0000 0.0000 0.5821
# Uncorrected formation energy in eV per atom: -1.068


# 2
# Ca2RuPtN, relaxed, DFT PBE
data_Ca2RuPtN
_chemical_formula_sum 'Ca2 Ru1 Pt1 N1'
_cell_length_a 4.927
_cell_length_b 4.927
_cell_length_c 3.782
_cell_angle_alpha 90.00
_cell_angle_beta 90.00
_cell_angle_gamma 90.00
_symmetry_space_group_name_H-M 'P 4/m m m'
_symmetry_Int_Tables_number 123
_symmetry_space_group_name_Hall '-P 4 2'
loop_
_atom_site_label
_atom_site_fract_x
_atom_site_fract_y
_atom_site_fract_z
Ca1 0.000 0.500 0.000
Ru1 0.000 0.000 0.500
Pt1 0.500 0.500 0.500
N1 0.000 0.000 0.000
# Uncorrected formation energy in eV per atom: -0.596


# 3
# Pr2Ho3ErTe6, relaxed, DFT PBE
data_Pr2Ho3ErTe6
_chemical_formula_sum 'Pr4 Ho6 Er2 Te12'
_cell_length_a 19.279
_cell_length_b 4.352
_cell_length_c 8.878
_cell_angle_alpha 90.00
_cell_angle_beta 103.83
_cell_angle_gamma 90.00
_symmetry_space_group_name_H-M 'C 1 2/m 1'
_symmetry_Int_Tables_number 12
_symmetry_space_group_name_Hall '-C 2y'
loop_
_atom_site_label
_atom_site_fract_x
_atom_site_fract_y
_atom_site_fract_z
Pr1 0.171 0.000 0.338
Ho1 0.000 0.500 0.500
Ho2 0.175 0.000 0.837
Er1 0.000 0.500 0.000
Te1 0.005 0.000 0.754
Te2 0.161 0.500 0.593
Te3 0.162 0.500 0.071
# Uncorrected formation energy in eV per atom: -1.307


# 4
# K2BaNaH, relaxed, DFT PBE
data_K2BaNaH
_chemical_formula_sum 'K2 Ba1 Na1 H1'
_cell_length_a 6.292
_cell_length_b 6.292
_cell_length_c 5.478
_cell_angle_alpha 90.00
_cell_angle_beta 90.00
_cell_angle_gamma 90.00
_symmetry_space_group_name_H-M 'P 4/m m m'
_symmetry_Int_Tables_number 123
_symmetry_space_group_name_Hall '-P 4 2'
loop_
_atom_site_label
_atom_site_fract_x
_atom_site_fract_y
_atom_site_fract_z
K1 0.000 0.500 0.000
Ba1 0.000 0.000 0.500
Na1 0.500 0.500 0.500
H1 0.000 0.000 0.000
# Energy in eV per atom: -1.785


# 5
# Zr2AgHRu, relaxed, DFT PBE
data_Zr2AgHRu
_chemical_formula_sum 'Zr2 Ag1 H1 Ru1'
_cell_length_a 4.532
_cell_length_b 4.532
_cell_length_c 3.783
_cell_angle_alpha 90.00
_cell_angle_beta 90.00
_cell_angle_gamma 90.00
_symmetry_space_group_name_H-M 'P 4/m m m'
_symmetry_Int_Tables_number 123
_symmetry_space_group_name_Hall '-P 4 2'
loop_
_atom_site_label
_atom_site_fract_x
_atom_site_fract_y
_atom_site_fract_z
Zr1 0.000 0.500 0.000
Ag1 0.000 0.000 0.500
H1 0.500 0.500 0.000
Ru1 0.500 0.500 0.500
# Energy in eV per atom: -6.738


# 6
# LiY2B2Rh5, relaxed, DFT PBE
data_LiY2B2Rh5
_chemical_formula_sum 'Li2 Y4 B4 Rh10'
_cell_length_a 9.511
_cell_length_b 9.511
_cell_length_c 3.189
_cell_angle_alpha 90.00
_cell_angle_beta 90.00
_cell_angle_gamma 90.00
_symmetry_space_group_name_H-M 'P 4/m b m'
_symmetry_Int_Tables_number 127
_symmetry_space_group_name_Hall '-P 4 2ab'
loop_
_atom_site_label
_atom_site_fract_x
_atom_site_fract_y
_atom_site_fract_z
Li1 0.000 0.000 0.000
Y1 0.176 0.324 0.000
B1 0.125 0.625 0.000
Rh1 0.000 0.500 0.500
Rh2 0.070 0.780 0.500
# Energy of formation from the pure elements in meV per atom: -657